Density functional theory data (PBE+U) for a relaxed NiBi2RhO8 crystal.

Cell lengths 4.759, 6.699, 4.786 Å; angles 90.00, 90.40, 90.00 degrees
Atoms (fractional coordinates):
Ni 0.000 0.000 0.000
Bi 0.500 0.247 0.500
Bi 0.500 0.753 0.500
Rh 0.000 0.500 0.000
O 0.187 0.260 0.174
O 0.187 0.740 0.174
O 0.284 0.500 0.699
O 0.292 0.000 0.698
O 0.708 0.000 0.302
O 0.716 0.500 0.301
O 0.813 0.260 0.826
O 0.813 0.740 0.826

- Total energy: -5.567 eV/atom